(1)
VASP calculation (PBE-GGA) on crystalline La4Pr7Th at its relaxed geometry.

The structure in CIF format:
```
data_La4Pr7Th
_cell_length_a 3.7029
_cell_length_b 3.7029
_cell_length_c 36.5551
_cell_angle_alpha 90.00
_cell_angle_beta 90.00
_cell_angle_gamma 120.00
_space_group_name_H-M_alt 'P 1'
_space_group_IT_number 1
_space_group_name_Hall 'P 1'
loop_
_atom_site_label
_atom_site_fract_x
_atom_site_fract_y
_atom_site_fract_z
_atom_site_occupancy
La1 0.3333 0.6667 0.1659 1
La2 0.3333 0.6667 0.4160 1
La3 0.6667 0.3333 0.5840 1
La4 0.6667 0.3333 0.8341 1
Pr1 0.0000 0.0000 0.2486 1
Pr2 0.0000 0.0000 0.5000 1
Pr3 0.0000 0.0000 0.7514 1
Pr4 0.3333 0.6667 0.6677 1
Pr5 0.3333 0.6667 0.9211 1
Pr6 0.6667 0.3333 0.0789 1
Pr7 0.6667 0.3333 0.3323 1
Th1 0.0000 0.0000 0.0000 1
```

Results
Energy of formation from the pure elements = 0.02 eV/atom
Calculated density = 6.8 g/cm³

(2)
VASP calculation (PBE-GGA) on crystalline ZnCoMo3 at its relaxed geometry.

The structure in CIF format:
```
data_ZnCoMo3
_cell_length_a 4.4530
_cell_length_b 4.4530
_cell_length_c 4.4530
_cell_angle_alpha 90.00
_cell_angle_beta 90.00
_cell_angle_gamma 90.00
_space_group_name_H-M_alt 'P 1'
_space_group_IT_number 1
_space_group_name_Hall 'P 1'
loop_
_atom_site_label
_atom_site_fract_x
_atom_site_fract_y
_atom_site_fract_z
_atom_site_occupancy
Zn1 0.0000 0.0000 0.0000 1
Co1 0.5000 0.5000 0.5000 1
Mo1 0.0000 0.5000 0.5000 1
Mo2 0.5000 0.0000 0.5000 1
Mo3 0.5000 0.5000 0.0000 1
```

Results
Energy of formation from the pure elements = 1.17 eV/atom
Calculated density = 7.8 g/cm³

(3)
VASP calculation (PBE-GGA) on crystalline Tm2HfH at its relaxed geometry.

The structure in CIF format:
```
data_Tm2HfH
_cell_length_a 3.2077
_cell_length_b 3.2077
_cell_length_c 7.9376
_cell_angle_alpha 90.00
_cell_angle_beta 90.00
_cell_angle_gamma 90.00
_space_group_name_H-M_alt 'P 1'
_space_group_IT_number 1
_space_group_name_Hall 'P 1'
loop_
_atom_site_label
_atom_site_fract_x
_atom_site_fract_y
_atom_site_fract_z
_atom_site_occupancy
Tm1 0.0000 0.0000 0.2067 1
Tm2 0.0000 0.0000 0.7933 1
Hf1 0.5000 0.5000 0.5000 1
H1 0.5000 0.5000 0.0000 1
```

Results
Total DFT energy (no corrections) = -21.7 eV for the cell shown
Calculated density = 10.5 g/cm³

(4)
VASP calculation (PBE-GGA) on crystalline Rb3ZrSn2O9 at its relaxed geometry.

The structure in CIF format:
```
data_Rb3ZrSn2O9
_cell_length_a 5.9787
_cell_length_b 5.9787
_cell_length_c 7.3170
_cell_angle_alpha 90.00
_cell_angle_beta 90.00
_cell_angle_gamma 120.00
_space_group_name_H-M_alt 'P 1'
_space_group_IT_number 1
_space_group_name_Hall 'P 1'
loop_
_atom_site_label
_atom_site_fract_x
_atom_site_fract_y
_atom_site_fract_z
_atom_site_occupancy
Rb1 0.0000 0.0000 0.0000 1
Rb2 0.3333 0.6667 0.6678 1
Rb3 0.6667 0.3333 0.3322 1
Zr1 0.0000 0.0000 0.5000 1
Sn1 0.3333 0.6667 0.1677 1
Sn2 0.6667 0.3333 0.8323 1
O1 0.0000 0.5000 0.0000 1
O2 0.1677 0.3355 0.3316 1
O3 0.1677 0.8323 0.3316 1
O4 0.3355 0.1677 0.6684 1
O5 0.5000 0.0000 0.0000 1
O6 0.5000 0.5000 0.0000 1
O7 0.6645 0.8323 0.3316 1
O8 0.8323 0.1677 0.6684 1
O9 0.8323 0.6645 0.6684 1
```

Results
Formation energy (no corrections) = -1.62 eV per atom
Calculated density = 5.3 g/cm³

(5)
VASP calculation (PBE-GGA) on crystalline LiMn2Te at its relaxed geometry.

The structure in CIF format:
```
data_LiMn2Te
_cell_length_a 4.9760
_cell_length_b 4.9760
_cell_length_c 4.9760
_cell_angle_alpha 133.64
_cell_angle_beta 133.64
_cell_angle_gamma 67.64
_space_group_name_H-M_alt 'P 1'
_space_group_IT_number 1
_space_group_name_Hall 'P 1'
loop_
_atom_site_label
_atom_site_fract_x
_atom_site_fract_y
_atom_site_fract_z
_atom_site_occupancy
Li1 0.0000 0.0000 0.0000 1
Mn1 0.2500 0.7500 0.5000 1
Mn2 0.5000 0.5000 0.0000 1
Te1 0.7500 0.2500 0.5000 1
```

Results
Formation energy (no corrections) = 0.13 eV per atom
Calculated density = 6.4 g/cm³

(6)
VASP calculation (PBE-GGA) on crystalline Cr2PbCl at its relaxed geometry.

The structure in CIF format:
```
data_Cr2PbCl
_cell_length_a 5.0758
_cell_length_b 5.0758
_cell_length_c 3.2862
_cell_angle_alpha 96.65
_cell_angle_beta 96.65
_cell_angle_gamma 89.88
_space_group_name_H-M_alt 'P 1'
_space_group_IT_number 1
_space_group_name_Hall 'P 1'
loop_
_atom_site_label
_atom_site_fract_x
_atom_site_fract_y
_atom_site_fract_z
_atom_site_occupancy
Cr1 0.0000 0.5000 0.0000 1
Cr2 0.5000 0.0000 0.0000 1
Pb1 0.0000 0.0000 0.5000 1
Cl1 0.5000 0.5000 0.5000 1
```

Results
Formation energy (no corrections) = 0.49 eV per atom
Calculated density = 6.9 g/cm³

(7)
VASP calculation (PBE-GGA) on crystalline Ba2CdHgPd6 at its relaxed geometry.

The structure in CIF format:
```
data_Ba2CdHgPd6
_cell_length_a 9.3536
_cell_length_b 9.3536
_cell_length_c 9.3536
_cell_angle_alpha 36.43
_cell_angle_beta 36.43
_cell_angle_gamma 36.43
_space_group_name_H-M_alt 'P 1'
_space_group_IT_number 1
_space_group_name_Hall 'P 1'
loop_
_atom_site_label
_atom_site_fract_x
_atom_site_fract_y
_atom_site_fract_z
_atom_site_occupancy
Ba1 0.2086 0.2086 0.2086 1
Ba2 0.7914 0.7914 0.7914 1
Cd1 0.0000 0.0000 0.0000 1
Hg1 0.5000 0.5000 0.5000 1
Pd1 0.2494 0.2494 0.7493 1
Pd2 0.2494 0.7493 0.2494 1
Pd3 0.2507 0.7506 0.7506 1
Pd4 0.7493 0.2494 0.2494 1
Pd5 0.7506 0.2507 0.7506 1
Pd6 0.7506 0.7506 0.2507 1
```

Results
Energy of formation from the pure elements = -0.26 eV/atom
Calculated density = 7.9 g/cm³

(8)
VASP calculation (PBE-GGA) on crystalline ReBi2IN at its relaxed geometry.

The structure in CIF format:
```
data_ReBi2IN
_cell_length_a 4.9558
_cell_length_b 4.9558
_cell_length_c 4.6726
_cell_angle_alpha 90.00
_cell_angle_beta 90.00
_cell_angle_gamma 90.00
_space_group_name_H-M_alt 'P 1'
_space_group_IT_number 1
_space_group_name_Hall 'P 1'
loop_
_atom_site_label
_atom_site_fract_x
_atom_site_fract_y
_atom_site_fract_z
_atom_site_occupancy
Re1 0.0000 0.0000 0.0000 1
Bi1 0.0000 0.5000 0.5000 1
Bi2 0.5000 0.0000 0.5000 1
I1 0.5000 0.5000 0.0000 1
N1 0.5000 0.5000 0.5000 1
```

Results
Formation energy (no corrections) = 1.49 eV per atom
Calculated density = 10.8 g/cm³

(9)
VASP calculation (PBE-GGA) on crystalline Cs2Np2TiS6 at its relaxed geometry.

The structure in CIF format:
```
data_Cs2Np2TiS6
_cell_length_a 6.7191
_cell_length_b 6.7191
_cell_length_c 8.5568
_cell_angle_alpha 97.67
_cell_angle_beta 97.67
_cell_angle_gamma 119.58
_space_group_name_H-M_alt 'P 1'
_space_group_IT_number 1
_space_group_name_Hall 'P 1'
loop_
_atom_site_label
_atom_site_fract_x
_atom_site_fract_y
_atom_site_fract_z
_atom_site_occupancy
Cs1 0.1682 0.8318 0.0000 1
Cs2 0.8318 0.1682 0.0000 1
Np1 0.3334 0.6666 0.5000 1
Np2 0.6666 0.3334 0.5000 1
Ti1 0.0000 0.0000 0.5000 1
S1 0.0594 0.3722 0.6737 1
S2 0.2530 0.2530 0.3274 1
S3 0.3722 0.0594 0.6737 1
S4 0.6278 0.9406 0.3263 1
S5 0.7470 0.7470 0.6726 1
S6 0.9406 0.6278 0.3263 1
```

Results
Formation energy (no corrections) = -1.37 eV per atom
Calculated density = 5.0 g/cm³

(10)
VASP calculation (PBE-GGA) on crystalline LiYZrIr at its relaxed geometry.

The structure in CIF format:
```
data_LiYZrIr
_cell_length_a 4.7998
_cell_length_b 4.7998
_cell_length_c 4.7998
_cell_angle_alpha 60.00
_cell_angle_beta 60.00
_cell_angle_gamma 60.00
_space_group_name_H-M_alt 'P 1'
_space_group_IT_number 1
_space_group_name_Hall 'P 1'
loop_
_atom_site_label
_atom_site_fract_x
_atom_site_fract_y
_atom_site_fract_z
_atom_site_occupancy
Li1 0.0000 0.0000 0.0000 1
Y1 0.2500 0.2500 0.2500 1
Zr1 0.7500 0.7500 0.7500 1
Ir1 0.5000 0.5000 0.5000 1
```

Results
Energy of formation from the pure elements = -0.47 eV/atom
Calculated density = 8.1 g/cm³

(11)
VASP calculation (PBE-GGA) on crystalline TiTeW3 at its relaxed geometry.

The structure in CIF format:
```
data_TiTeW3
_cell_length_a 4.6874
_cell_length_b 4.6874
_cell_length_c 4.6874
_cell_angle_alpha 90.00
_cell_angle_beta 90.00
_cell_angle_gamma 90.00
_space_group_name_H-M_alt 'P 1'
_space_group_IT_number 1
_space_group_name_Hall 'P 1'
loop_
_atom_site_label
_atom_site_fract_x
_atom_site_fract_y
_atom_site_fract_z
_atom_site_occupancy
Ti1 0.0000 0.0000 0.0000 1
Te1 0.5000 0.5000 0.5000 1
W1 0.0000 0.0000 0.5000 1
W2 0.0000 0.5000 0.0000 1
W3 0.5000 0.0000 0.0000 1
```

Results
Formation energy (no corrections) = 1.93 eV per atom
Calculated density = 11.7 g/cm³

(12)
VASP calculation (PBE-GGA) on crystalline Al5Os at its relaxed geometry.

The structure in CIF format:
```
data_Al5Os
_cell_length_a 4.7740
_cell_length_b 4.7740
_cell_length_c 4.5404
_cell_angle_alpha 90.00
_cell_angle_beta 90.00
_cell_angle_gamma 120.00
_space_group_name_H-M_alt 'P 1'
_space_group_IT_number 1
_space_group_name_Hall 'P 1'
loop_
_atom_site_label
_atom_site_fract_x
_atom_site_fract_y
_atom_site_fract_z
_atom_site_occupancy
Al1 0.0000 0.6817 0.0000 1
Al2 0.3183 0.3183 0.0000 1
Al3 0.3333 0.6667 0.5000 1
Al4 0.6667 0.3333 0.5000 1
Al5 0.6817 0.0000 0.0000 1
Os1 0.0000 0.0000 0.5000 1
```

Results
Energy of formation from the pure elements = -0.26 eV/atom
Calculated density = 6.0 g/cm³